No. 1
Y2NiGe3 PBE relaxed; energy of formation = -689 meV/atom; energy relative to the lowest polymorph listed for this composition = 0.031 eV/atom
1.0
10.558 0.000 0.000
0.000 4.204 0.000
-4.569 0.000 5.242
Y Ni Ge
4 2 6
Direct
0.000 0.000 0.000 Y
0.116 0.000 0.598 Y
0.500 0.500 0.000 Y
0.616 0.500 0.598 Y
0.233 0.500 0.050 Ni
0.733 0.000 0.050 Ni
0.233 0.500 0.407 Ge
0.369 0.000 0.171 Ge
0.443 0.000 0.661 Ge
0.733 0.000 0.407 Ge
0.869 0.500 0.171 Ge
0.943 0.500 0.661 Ge

---

No. 2
Sm5Ag2Pb PBE relaxed; energy of formation = -281 meV/atom
1.0
-4.153 4.153 6.747
4.153 -4.153 6.747
4.153 4.153 -6.747
Sm Ag Pb
10 4 2
Direct
0.000 0.000 0.000 Sm
0.007 0.507 0.809 Sm
0.198 0.007 0.500 Sm
0.302 0.802 0.809 Sm
0.493 0.302 0.500 Sm
0.500 0.500 0.000 Sm
0.507 0.698 0.500 Sm
0.698 0.198 0.191 Sm
0.802 0.993 0.500 Sm
0.993 0.493 0.191 Sm
0.133 0.367 0.500 Ag
0.367 0.867 0.235 Ag
0.633 0.133 0.765 Ag
0.867 0.633 0.500 Ag
0.250 0.250 0.000 Pb
0.750 0.750 0.000 Pb

---

No. 3
CaTaAs2 PBE relaxed; energy of formation = -561 meV/atom; energy relative to the lowest polymorph listed for this composition = 0.171 eV/atom
1.0
3.331 0.000 0.000
0.000 3.292 0.000
-0.018 0.000 7.175
Ca Ta As
1 1 2
Direct
0.000 0.000 0.000 Ca
0.000 0.000 0.500 Ta
0.500 0.500 0.290 As
0.500 0.500 0.710 As

---

No. 4
Y2ReSb PBE relaxed; raw formation energy = -0.004 eV per atom
1.0
4.347 0.000 0.000
0.000 4.347 0.000
0.000 0.000 9.872
Y Re Sb
4 2 2
Direct
0.000 0.000 0.000 Y
0.000 0.500 0.250 Y
0.500 0.000 0.750 Y
0.500 0.500 0.500 Y
0.000 0.500 0.750 Re
0.500 0.000 0.250 Re
0.000 0.000 0.500 Sb
0.500 0.500 0.000 Sb

---

No. 5
La3Sc PBE relaxed; energy of formation = 68 meV/atom
1.0
3.677 0.000 0.000
0.000 11.740 0.000
0.000 0.000 6.250
La Sc
6 2
Direct
0.000 0.000 0.000 La
0.000 0.240 0.349 La
0.000 0.760 0.349 La
0.500 0.260 0.849 La
0.500 0.500 0.500 La
0.500 0.740 0.849 La
0.000 0.500 0.005 Sc
0.500 0.000 0.505 Sc

---

No. 6
BaTcAgGe2 PBE relaxed; energy of formation = -171 meV/atom
1.0
4.803 0.000 0.000
0.000 4.803 0.000
0.000 0.000 5.437
Ba Tc Ag Ge
1 1 1 2
Direct
0.000 0.000 0.000 Ba
0.500 0.500 0.500 Tc
0.500 0.500 0.000 Ag
0.000 0.500 0.500 Ge
0.500 0.000 0.500 Ge

---

No. 7
SiP3 PBE relaxed; raw formation energy = 0.630 eV per atom
1.0
6.070 0.000 0.000
0.000 6.079 0.000
0.000 0.000 6.107
Si P
4 12
Direct
0.000 0.000 0.000 Si
0.000 0.500 0.500 Si
0.500 0.000 0.500 Si
0.500 0.500 0.000 Si
0.000 0.000 0.500 P
0.000 0.500 0.000 P
0.250 0.250 0.250 P
0.250 0.250 0.750 P
0.250 0.750 0.250 P
0.250 0.750 0.750 P
0.500 0.000 0.000 P
0.500 0.500 0.500 P
0.750 0.250 0.250 P
0.750 0.250 0.750 P
0.750 0.750 0.250 P
0.750 0.750 0.750 P

---

No. 8
Dy4SnTe2Pb PBE relaxed; raw formation energy = -0.985 eV per atom
1.0
7.623 0.000 0.000
0.000 4.404 0.000
-2.539 0.000 7.212
Dy Sn Te Pb
4 1 2 1
Direct
0.244 0.000 0.238 Dy
0.252 0.500 0.761 Dy
0.748 0.500 0.239 Dy
0.756 0.000 0.762 Dy
0.000 0.500 0.000 Sn
0.000 0.000 0.500 Te
0.500 0.500 0.500 Te
0.500 0.000 0.000 Pb

---

No. 9
PaB3C2 PBE relaxed; energy of formation = -98 meV/atom
1.0
6.540 -1.462 0.000
6.540 1.462 0.000
-3.272 0.000 5.834
Pa B C
2 6 4
Direct
0.155 0.155 0.228 Pa
0.845 0.845 0.772 Pa
0.064 0.064 0.769 B
0.222 0.222 0.926 B
0.384 0.384 0.488 B
0.616 0.616 0.512 B
0.778 0.778 0.074 B
0.936 0.936 0.231 B
0.151 0.151 0.646 C
0.498 0.498 0.748 C
0.502 0.502 0.252 C
0.849 0.849 0.354 C

---

No. 10
TiMoIr PBE relaxed; energy of formation = -397 meV/atom; energy relative to the lowest polymorph listed for this composition = 0.049 eV/atom
1.0
4.450 0.000 0.000
0.000 3.110 0.000
0.000 0.000 13.289
Ti Mo Ir
4 4 4
Direct
0.000 0.000 0.000 Ti
0.000 0.500 0.500 Ti
0.500 0.000 0.164 Ti
0.500 0.500 0.664 Ti
0.500 0.000 0.493 Mo
0.500 0.000 0.827 Mo
0.500 0.500 0.327 Mo
0.500 0.500 0.993 Mo
0.000 0.000 0.342 Ir
0.000 0.000 0.659 Ir
0.000 0.500 0.159 Ir
0.000 0.500 0.842 Ir

---

No. 11
HoErBeRu PBE relaxed; energy of formation = -178 meV/atom
1.0
6.779 0.000 0.000
0.000 6.779 0.000
0.000 0.000 6.779
Ho Er Be Ru
4 4 4 4
Direct
0.000 0.000 0.000 Ho
0.000 0.500 0.500 Ho
0.500 0.000 0.500 Ho
0.500 0.500 0.000 Ho
0.000 0.000 0.500 Er
0.000 0.500 0.000 Er
0.500 0.000 0.000 Er
0.500 0.500 0.500 Er
0.250 0.250 0.250 Be
0.250 0.750 0.750 Be
0.750 0.250 0.750 Be
0.750 0.750 0.250 Be
0.250 0.250 0.750 Ru
0.250 0.750 0.250 Ru
0.750 0.250 0.250 Ru
0.750 0.750 0.750 Ru

---

No. 12
Rb3MnCl5 PBE relaxed; raw formation energy = -1.690 eV per atom
1.0
-4.505 4.505 7.319
4.505 -4.505 7.319
4.505 4.505 -7.319
Rb Mn Cl
6 2 10
Direct
0.165 0.665 0.831 Rb
0.250 0.250 0.000 Rb
0.335 0.165 0.500 Rb
0.665 0.835 0.500 Rb
0.750 0.750 0.000 Rb
0.835 0.335 0.169 Rb
0.250 0.750 0.500 Mn
0.750 0.250 0.500 Mn
0.000 0.000 0.000 Cl
0.007 0.796 0.500 Cl
0.204 0.704 0.211 Cl
0.296 0.507 0.500 Cl
0.493 0.993 0.789 Cl
0.500 0.500 0.000 Cl
0.507 0.007 0.211 Cl
0.704 0.493 0.500 Cl
0.796 0.296 0.789 Cl
0.993 0.204 0.500 Cl

---

No. 13
K3InGe PBE relaxed; energy of formation = 342 meV/atom; energy relative to the lowest polymorph listed for this composition = 0.338 eV/atom
1.0
6.491 0.000 0.000
0.000 6.491 0.000
0.000 0.000 6.491
K In Ge
3 1 1
Direct
0.000 0.000 0.500 K
0.000 0.500 0.000 K
0.500 0.000 0.000 K
0.500 0.500 0.500 In
0.000 0.000 0.000 Ge

---

No. 14
Ca2ThReO8 PBE relaxed; raw formation energy = -2.480 eV per atom
1.0
3.544 -3.668 0.000
3.544 3.668 0.000
0.000 0.000 6.896
Ca Th Re O
2 1 1 8
Direct
0.000 0.000 0.237 Ca
0.000 0.000 0.763 Ca
0.500 0.500 0.500 Th
0.500 0.500 0.000 Re
0.199 0.199 0.500 O
0.237 0.237 0.000 O
0.323 0.677 0.206 O
0.323 0.677 0.794 O
0.677 0.323 0.206 O
0.677 0.323 0.794 O
0.763 0.763 0.000 O
0.801 0.801 0.500 O

---

No. 15
Na3PdSe PBE relaxed; raw formation energy = -0.019 eV per atom; energy relative to the lowest polymorph listed for this composition = 0.169 eV/atom
1.0
5.271 0.000 0.000
0.000 5.271 0.000
0.000 0.000 5.271
Na Pd Se
3 1 1
Direct
0.000 0.000 0.500 Na
0.000 0.500 0.000 Na
0.500 0.000 0.000 Na
0.000 0.000 0.000 Pd
0.500 0.500 0.500 Se

---

No. 16
ZnIO2 PBE relaxed; raw formation energy = 0.508 eV per atom; energy relative to the lowest polymorph listed for this composition = 1.175 eV/atom
1.0
6.022 0.000 0.000
0.000 6.022 0.000
0.000 0.000 6.022
Zn I O
4 4 8
Direct
0.000 0.000 0.000 Zn
0.000 0.500 0.500 Zn
0.500 0.000 0.500 Zn
0.500 0.500 0.000 Zn
0.000 0.000 0.500 I
0.000 0.500 0.000 I
0.500 0.000 0.000 I
0.500 0.500 0.500 I
0.250 0.250 0.250 O
0.250 0.250 0.750 O
0.250 0.750 0.250 O
0.250 0.750 0.750 O
0.750 0.250 0.250 O
0.750 0.250 0.750 O
0.750 0.750 0.250 O
0.750 0.750 0.750 O

---

No. 17
MgGa8Au2 PBE relaxed; energy of formation = -66 meV/atom
1.0
6.385 -3.403 0.000
6.385 3.403 0.000
-0.034 0.000 5.174
Mg Ga Au
1 8 2
Direct
0.000 0.000 0.000 Mg
0.215 0.618 0.359 Ga
0.228 0.228 0.275 Ga
0.382 0.785 0.641 Ga
0.403 0.403 0.851 Ga
0.597 0.597 0.149 Ga
0.618 0.215 0.359 Ga
0.772 0.772 0.725 Ga
0.785 0.382 0.641 Ga
0.195 0.195 0.780 Au
0.805 0.805 0.220 Au

---

No. 18
B2HW PBE relaxed; energy relative to the lowest polymorph listed for this composition = 0.000 eV/atom
1.0
3.272 0.000 0.000
0.000 3.272 0.000
0.000 0.000 11.966
B H W
8 4 4
Direct
0.000 0.000 0.000 B
0.000 0.500 0.000 B
0.250 0.250 0.750 B
0.250 0.750 0.250 B
0.500 0.000 0.500 B
0.500 0.500 0.500 B
0.750 0.250 0.750 B
0.750 0.750 0.250 B
0.000 0.250 0.875 H
0.000 0.750 0.125 H
0.500 0.250 0.625 H
0.500 0.750 0.375 H
0.000 0.250 0.375 W
0.000 0.750 0.625 W
0.500 0.250 0.125 W
0.500 0.750 0.875 W

---

No. 19
Sm4TeAu PBE relaxed; raw formation energy = -0.733 eV per atom; energy relative to the lowest polymorph listed for this composition = 0.000 eV/atom
1.0
8.588 0.000 0.000
0.000 4.029 0.000
0.000 0.000 20.114
Sm Te Au
16 4 4
Direct
0.010 0.250 0.220 Sm
0.026 0.250 0.927 Sm
0.123 0.250 0.440 Sm
0.161 0.250 0.653 Sm
0.339 0.750 0.153 Sm
0.377 0.750 0.940 Sm
0.474 0.750 0.427 Sm
0.490 0.750 0.720 Sm
0.510 0.250 0.280 Sm
0.526 0.250 0.573 Sm
0.623 0.250 0.060 Sm
0.661 0.250 0.847 Sm
0.839 0.750 0.347 Sm
0.877 0.750 0.560 Sm
0.974 0.750 0.073 Sm
0.990 0.750 0.780 Sm
0.215 0.750 0.312 Te
0.285 0.250 0.812 Te
0.715 0.750 0.188 Te
0.785 0.250 0.688 Te
0.242 0.250 0.049 Au
0.258 0.750 0.549 Au
0.742 0.250 0.451 Au
0.758 0.750 0.951 Au

---

No. 20
TiV6Re2 PBE relaxed; energy of formation = 131 meV/atom
1.0
4.285 -2.482 0.000
4.285 2.482 0.000
-2.489 0.000 6.136
Ti V Re
1 6 2
Direct
0.000 0.000 0.000 Ti
0.202 0.683 0.299 V
0.245 0.245 0.469 V
0.317 0.798 0.701 V
0.683 0.202 0.299 V
0.755 0.755 0.531 V
0.798 0.317 0.701 V
0.322 0.322 0.884 Re
0.678 0.678 0.116 Re

---

No. 21
CuSe2Cl PBE relaxed; raw formation energy = 0.289 eV per atom; energy relative to the lowest polymorph listed for this composition = 0.580 eV/atom
1.0
3.057 0.000 0.000
0.000 3.057 0.000
0.000 0.000 8.804
Cu Se Cl
1 2 1
Direct
0.000 0.000 0.000 Cu
0.000 0.000 0.441 Se
0.500 0.500 0.192 Se
0.500 0.500 0.840 Cl

---

No. 22
Cs2ZnI4 PBE relaxed; raw formation energy = -1.185 eV per atom; energy relative to the lowest polymorph listed for this composition = 0.000 eV/atom
1.0
8.165 0.000 0.000
0.000 8.347 0.000
-3.583 0.000 10.478
Cs Zn I
4 2 8
Direct
0.202 0.250 0.417 Cs
0.294 0.250 0.960 Cs
0.706 0.750 0.040 Cs
0.798 0.750 0.583 Cs
0.307 0.750 0.216 Zn
0.693 0.250 0.784 Zn
0.093 0.750 0.351 I
0.151 0.750 0.965 I
0.486 0.502 0.723 I
0.486 0.998 0.723 I
0.514 0.002 0.277 I
0.514 0.498 0.277 I
0.849 0.250 0.035 I
0.907 0.250 0.649 I

---

No. 23
DyY15Er4 PBE relaxed; energy of formation = 25 meV/atom
1.0
5.039 0.000 0.000
0.000 5.039 0.000
0.000 0.000 25.213
Dy Y Er
1 15 4
Direct
0.000 0.000 0.000 Dy
0.000 0.500 0.100 Y
0.000 0.500 0.300 Y
0.000 0.500 0.500 Y
0.000 0.500 0.700 Y
0.000 0.500 0.900 Y
0.500 0.000 0.100 Y
0.500 0.000 0.300 Y
0.500 0.000 0.500 Y
0.500 0.000 0.700 Y
0.500 0.000 0.900 Y
0.500 0.500 0.000 Y
0.500 0.500 0.200 Y
0.500 0.500 0.400 Y
0.500 0.500 0.600 Y
0.500 0.500 0.800 Y
0.000 0.000 0.200 Er
0.000 0.000 0.400 Er
0.000 0.000 0.600 Er
0.000 0.000 0.800 Er